Computed, not measured: crystalline VZnO4 at its relaxed geometry at the PBE+U level of DFT. Values from VASP.

```
&SYSTEM
  ibrav = 0, nat = 12, ntyp = 3
/
ATOMIC_SPECIES
V 50.94 V.upf
Zn 65.41 Zn.upf
O 16.00 O.upf
ATOMIC_POSITIONS angstrom
V -2.423 -0.329 2.620
V 0.000 0.000 0.000
Zn 1.185 -0.383 2.758
Zn 0.557 3.034 1.877
O -1.833 -1.821 3.631
O -0.707 -0.179 1.750
O -1.820 0.719 4.021
O 0.697 -0.732 4.725
O -1.378 3.053 2.530
O 1.139 1.602 3.234
O 0.026 2.500 5.505
O 1.152 4.142 3.624
CELL_PARAMETERS angstrom
-3.051 3.088 1.740
-1.795 -3.747 3.501
4.165 2.980 2.015
```

Summary:
space-group type	No. 14
E	-6.062	eV/atom